# PmAgRhPb

A geometry-optimized PmAgRhPb structure (PBE, Alexandria).

As for the calculated formation energy: -0.31 eV per atom.

The space group is F-43m (No. 216) and the conventional cell measures 7.0320, 7.0320 and 7.0320 Å, with angles of 90.00, 90.00 and 90.00 degrees. The distinct sites, in fractional coordinates, are Pm at (0.0000, 0.0000, 0.0000), Ag at (0.2500, 0.2500, 0.2500), Rh at (0.2500, 0.2500, 0.7500) and Pb at (0.0000, 0.0000, 0.5000).